[1]
# Li2SnPt

A relaxed structure of Li2SnPt (PBE, OQMD via LeMat-Bulk).

Properties
Total DFT energy (no corrections) = -4.126 eV per atom
Density = 8.60 Mg/m³

Unit cell a=4.4728 b=4.4728 c=4.4728 alpha=60.00 beta=60.00 gamma=60.00
Closest atoms and distances in Å follow each position.
Positions (direct):
Li1 0.0000 0.0000 0.0000  4 Sn 2.74, 4 Li 2.74
Li2 0.2500 0.2500 0.2500  4 Li 2.74, 4 Pt 2.74
Sn1 0.7500 0.7500 0.7500  4 Li 2.74, 4 Pt 2.74
Pt1 0.5000 0.5000 0.5000  4 Sn 2.74, 4 Li 2.74

---

[2]
# CsTaAs

A relaxed structure of CsTaAs (PBE, OQMD via LeMat-Bulk).

Properties
Density = 8.28 Mg/m³
Polymorph energy (0 for the lowest one) = 0.0 meV per atom

Unit cell a=4.7946 b=4.7946 c=4.7946 alpha=60.00 beta=60.00 gamma=60.00
Closest atoms and distances in Å follow each position.
Positions (direct):
Cs1 0.0000 0.0000 0.0000  4 Ta 2.94
Ta1 0.7500 0.7500 0.7500  4 As 2.94, 4 Cs 2.94
As1 0.5000 0.5000 0.5000  4 Ta 2.94

---

[3]
# Dy5Pt4

A relaxed structure of Dy5Pt4 (PBE, OQMD via LeMat-Bulk).

Properties
Density = 12.81 Mg/m³
ΔE_f = -1.169 eV per atom

Unit cell a=7.4863 b=14.5908 c=7.5602 alpha=90.00 beta=90.00 gamma=90.00
Closest atoms and distances in Å follow each position.
Positions (direct):
Dy1 0.0020 0.0930 0.1792  6 Pt 2.95-3.25
Dy2 0.0020 0.4070 0.1792  6 Pt 2.95-3.25
Dy3 0.1527 0.6228 0.3333  6 Pt 2.83-3.00
Dy4 0.1527 0.8772 0.3333  6 Pt 2.83-3.00
Dy5 0.1855 0.2500 0.4884  5 Pt 2.80-3.07
Dy6 0.3145 0.7500 0.9884  5 Pt 2.80-3.07
Dy7 0.3473 0.1228 0.8333  6 Pt 2.83-3.00
Dy8 0.3473 0.3772 0.8333  6 Pt 2.83-3.00
Dy9 0.4980 0.5930 0.6792  6 Pt 2.95-3.25
Dy10 0.4980 0.9070 0.6792  6 Pt 2.95-3.25
Dy11 0.5020 0.0930 0.3208  6 Pt 2.95-3.25
Dy12 0.5020 0.4070 0.3208  6 Pt 2.95-3.25
Dy13 0.6527 0.6228 0.1667  6 Pt 2.83-3.00
Dy14 0.6527 0.8772 0.1667  6 Pt 2.83-3.00
Dy15 0.6855 0.2500 0.0116  5 Pt 2.80-3.07
Dy16 0.8145 0.7500 0.5116  5 Pt 2.80-3.07
Dy17 0.8473 0.1228 0.6667  6 Pt 2.83-3.00
Dy18 0.8473 0.3772 0.6667  6 Pt 2.83-3.00
Dy19 0.9980 0.5930 0.8208  6 Pt 2.95-3.25
Dy20 0.9980 0.9070 0.8208  6 Pt 2.95-3.25
Pt1 0.0505 0.2500 0.8883  1 Pt 2.80, 5 Dy 2.89-2.93
Pt2 0.1787 0.7500 0.6434  1 Pt 2.80, 6 Dy 2.80-3.00
Pt3 0.1866 0.0412 0.5332  6 Dy 2.83-3.11, 1 Pt 3.08
Pt4 0.1866 0.4588 0.5332  6 Dy 2.83-3.11, 1 Pt 3.08
Pt5 0.3134 0.5412 0.0332  6 Dy 2.83-3.11, 1 Pt 3.08
Pt6 0.3134 0.9588 0.0332  6 Dy 2.83-3.11, 1 Pt 3.08
Pt7 0.3213 0.2500 0.1434  1 Pt 2.80, 6 Dy 2.80-3.00
Pt8 0.4495 0.7500 0.3883  1 Pt 2.80, 5 Dy 2.89-2.93
Pt9 0.5505 0.2500 0.6117  1 Pt 2.80, 5 Dy 2.89-2.93
Pt10 0.6787 0.7500 0.8566  1 Pt 2.80, 6 Dy 2.80-3.00
Pt11 0.6866 0.0412 0.9668  6 Dy 2.83-3.11, 1 Pt 3.08
Pt12 0.6866 0.4588 0.9668  6 Dy 2.83-3.11, 1 Pt 3.08
Pt13 0.8134 0.5412 0.4668  6 Dy 2.83-3.11, 1 Pt 3.08
Pt14 0.8134 0.9588 0.4668  6 Dy 2.83-3.11, 1 Pt 3.08
Pt15 0.8213 0.2500 0.3566  1 Pt 2.80, 6 Dy 2.80-3.00
Pt16 0.9495 0.7500 0.1117  1 Pt 2.80, 5 Dy 2.89-2.93

---

[4]
# Sc2InTc

A relaxed structure of Sc2InTc (PBE, OQMD via LeMat-Bulk).

Properties
Total DFT energy (no corrections) = -6.293 eV per atom
Density = 6.10 Mg/m³

Unit cell a=5.0396 b=5.0396 c=7.4935 alpha=90.00 beta=90.00 gamma=120.00
Closest atoms and distances in Å follow each position.
Positions (direct):
Sc1 0.3333 0.6667 0.0775  1 Tc 2.45, 1 Sc 2.58
Sc2 0.3333 0.6667 0.4225  1 Tc 2.45, 1 Sc 2.58
Sc3 0.6667 0.3333 0.5775  1 Tc 2.45, 1 Sc 2.58
Sc4 0.6667 0.3333 0.9225  1 Tc 2.45, 1 Sc 2.58
In1 0.0000 0.0000 0.0000  6 Sc 2.97
In2 0.0000 0.0000 0.5000  6 Sc 2.97
Tc1 0.3333 0.6667 0.7500  2 Sc 2.45
Tc2 0.6667 0.3333 0.2500  2 Sc 2.45

---

[5]
# LiGaOs

A relaxed structure of LiGaOs (PBE, OQMD via LeMat-Bulk).

Properties
Density = 9.30 Mg/m³
Polymorph energy (0 for the lowest one) = 0.0 meV per atom

Unit cell a=4.0702 b=4.0702 c=4.0702 alpha=60.00 beta=60.00 gamma=60.00
Closest atoms and distances in Å follow each position.
Positions (direct):
Li1 0.0000 0.0000 0.0000  4 Ga 2.49
Ga1 0.2500 0.2500 0.2500  4 Os 2.49, 4 Li 2.49
Os1 0.5000 0.5000 0.5000  4 Ga 2.49

---

[6]
# NpBeCo

A relaxed structure of NpBeCo (PBE, OQMD via LeMat-Bulk).

Properties
Density = 11.37 Mg/m³
Polymorph energy (0 for the lowest one) = 344.1 meV per atom

Unit cell a=3.9781 b=3.9781 c=3.9781 alpha=60.00 beta=60.00 gamma=60.00
Closest atoms and distances in Å follow each position.
Positions (direct):
Np1 0.0000 0.0000 0.0000  4 Be 2.44
Be1 0.2500 0.2500 0.2500  4 Co 2.44, 4 Np 2.44
Co1 0.5000 0.5000 0.5000  4 Be 2.44

---

[7]
# SmPPbO

A relaxed structure of SmPPbO (PBE, OQMD via LeMat-Bulk).

Properties
Density = 7.88 Mg/m³
Polymorph energy (0 for the lowest one) = 245.5 meV per atom

Unit cell a=5.6027 b=5.6027 c=5.4299 alpha=90.00 beta=90.00 gamma=90.00
Closest atoms and distances in Å follow each position.
Positions (direct):
Sm1 0.2500 0.7500 0.0000  2 O 2.71, 4 P 2.80
Sm2 0.7500 0.2500 0.0000  2 O 2.71, 4 P 2.80
P1 0.2500 0.2500 0.0019  2 Pb 2.71-2.72, 4 Sm 2.80
P2 0.7500 0.7500 0.9981  2 Pb 2.71-2.72, 4 Sm 2.80
Pb1 0.2500 0.2500 0.5013  2 P 2.71-2.72, 4 O 2.80
Pb2 0.7500 0.7500 0.4987  2 P 2.71-2.72, 4 O 2.80
O1 0.2500 0.7500 0.5000  2 Sm 2.71, 4 Pb 2.80
O2 0.7500 0.2500 0.5000  2 Sm 2.71, 4 Pb 2.80

---

[8]
# BaZr2

A relaxed structure of BaZr2 (PBE, OQMD via LeMat-Bulk).

Properties
Density = 5.71 Mg/m³
Polymorph energy (0 for the lowest one) = 156.3 meV per atom

Unit cell a=5.1799 b=10.1304 c=7.0853 alpha=90.00 beta=90.00 gamma=90.00
Closest atoms and distances in Å follow each position.
Positions (direct):
Ba1 0.2500 0.0863 0.1227  3 Ba 3.32-3.58, 4 Zr 3.45-3.58
Ba2 0.2500 0.4137 0.1227  3 Ba 3.32-3.58, 4 Zr 3.45-3.58
Ba3 0.7500 0.5863 0.8773  3 Ba 3.32-3.58, 4 Zr 3.45-3.58
Ba4 0.7500 0.9137 0.8773  3 Ba 3.32-3.58, 4 Zr 3.45-3.58
Zr1 0.2500 0.2500 0.6116  6 Zr 2.93-3.24
Zr2 0.2500 0.5963 0.5550  6 Zr 2.98-3.34
Zr3 0.2500 0.7500 0.1958  4 Zr 2.93-2.98
Zr4 0.2500 0.9037 0.5550  6 Zr 2.98-3.34
Zr5 0.7500 0.0963 0.4450  6 Zr 2.98-3.34
Zr6 0.7500 0.2500 0.8042  4 Zr 2.93-2.98
Zr7 0.7500 0.4037 0.4450  6 Zr 2.98-3.34
Zr8 0.7500 0.7500 0.3884  6 Zr 2.93-3.24

---

[9]
# SmSbPt

A relaxed structure of SmSbPt (PBE, OQMD via LeMat-Bulk).

Properties
Total DFT energy (no corrections) = -5.354 eV per atom
Density = 9.32 Mg/m³

Unit cell a=4.9003 b=4.9003 c=4.9003 alpha=60.00 beta=60.00 gamma=60.00
Closest atoms and distances in Å follow each position.
Positions (direct):
Sm1 0.0000 0.0000 0.0000  4 Sb 3.00, 4 Pt 3.00
Sb1 0.2500 0.2500 0.2500  4 Sm 3.00
Pt1 0.7500 0.7500 0.7500  4 Sm 3.00

---

[10]
# Al11Co2

A relaxed structure of Al11Co2 (PBE, OQMD via LeMat-Bulk).

Properties
Density = 3.34 Mg/m³
Polymorph energy (0 for the lowest one) = 0.0 meV per atom

Unit cell a=9.7367 b=9.7367 c=9.7367 alpha=30.11 beta=30.11 gamma=30.11
Closest atoms and distances in Å follow each position.
Positions (direct):
Al1 0.0000 0.0000 0.0000  12 Al 2.71-2.96
Al2 0.0858 0.0858 0.5829  7 Al 2.52-2.80, 2 Co 2.61
Al3 0.0858 0.5829 0.0858  7 Al 2.52-2.80, 2 Co 2.61
Al4 0.1656 0.1656 0.1656  9 Al 2.76-2.92
Al5 0.3508 0.3508 0.3508  1 Co 2.44
Al6 0.4171 0.9142 0.9142  7 Al 2.52-2.80, 2 Co 2.61
Al7 0.5829 0.0858 0.0858  7 Al 2.52-2.80, 2 Co 2.61
Al8 0.6492 0.6492 0.6492  1 Co 2.44
Al9 0.8344 0.8344 0.8344  9 Al 2.76-2.92
Al10 0.9142 0.4171 0.9142  7 Al 2.52-2.80, 2 Co 2.61
Al11 0.9142 0.9142 0.4171  7 Al 2.52-2.80, 2 Co 2.61
Co1 0.4383 0.4383 0.4383  7 Al 2.44-2.61
Co2 0.5617 0.5617 0.5617  7 Al 2.44-2.61

---

[11]
# HgGe2Cl2O2

A relaxed structure of HgGe2Cl2O2 (PBE, OQMD via LeMat-Bulk).

Properties
Total DFT energy (no corrections) = -4.107 eV per atom
Density = 5.18 Mg/m³

Unit cell a=6.6980 b=6.6980 c=7.7465 alpha=124.82 beta=124.82 gamma=30.91
Closest atoms and distances in Å follow each position.
Positions (direct):
Hg1 0.0000 0.0000 0.0000  2 O 2.44, 4 Cl 2.66
Ge1 0.1803 0.1803 0.7917  3 O 1.96-2.12
Ge2 0.8197 0.8197 0.2083  3 O 1.96-2.12
Cl1 0.4441 0.4441 0.7012  2 Hg 2.66
Cl2 0.5559 0.5559 0.2988  2 Hg 2.66
O1 0.2118 0.2118 0.0723  3 Ge 1.96-2.12
O2 0.7882 0.7882 0.9277  3 Ge 1.96-2.12

---

[12]
# Mo3N2

A relaxed structure of Mo3N2 (PBE, OQMD via LeMat-Bulk).

Properties
Density = 8.24 Mg/m³
Polymorph energy (0 for the lowest one) = 281.8 meV per atom

Unit cell a=6.0519 b=4.1690 c=15.2363 alpha=90.00 beta=96.52 gamma=90.00
Closest atoms and distances in Å follow each position.
Positions (direct):
Mo1 0.0000 0.0000 0.0000  1 N 2.06
Mo2 0.0032 0.0000 0.3982  2 N 2.10-2.18
Mo3 0.1653 0.5000 0.0899  3 N 2.07-2.13
Mo4 0.1742 0.5000 0.2925  5 N 2.09-2.24
Mo5 0.2433 0.5000 0.9073  1 N 1.79
Mo6 0.2507 0.0000 0.6079  4 N 2.09-2.16
Mo7 0.3191 0.5000 0.4840  4 N 2.08-2.09
Mo8 0.4404 0.0000 0.1984  3 N 2.09-2.17
Mo9 0.4522 0.0000 0.8049  1 N 1.87
Mo10 0.4650 0.0000 0.0174  3 N 2.09-2.11
Mo11 0.5420 0.5000 0.6951  3 N 1.97-2.04
Mo12 0.5709 0.0000 0.3785  3 N 2.14-2.17
Mo13 0.6666 0.0000 0.5454  1 N 2.19
Mo14 0.7200 0.5000 0.9487  4 N 1.95-2.13
Mo15 0.7236 0.5000 0.2837  3 N 2.07-2.12
Mo16 0.8548 0.0000 0.7038  3 N 1.92-2.09
Mo17 0.9099 0.5000 0.5704  2 N 2.02-2.09
Mo18 0.9345 0.0000 0.1827  3 N 2.09-2.15
N1 0.1687 0.0000 0.7421  2 Mo 1.87-1.92
N2 0.1936 0.0000 0.2916  5 Mo 2.09-2.17
N3 0.2498 0.5000 0.6145  5 Mo 2.03-2.09
N4 0.3309 0.0000 0.4738  6 Mo 2.09-2.19
N5 0.4261 0.5000 0.1957  5 Mo 2.09-2.24
N6 0.4523 0.5000 0.0279  5 Mo 2.07-2.13
N7 0.4889 0.5000 0.3726  5 Mo 2.07-2.14
N8 0.4887 0.5000 0.8250  5 Mo 2.04-2.22
N9 0.6969 0.0000 0.9240  5 Mo 2.06-2.21
N10 0.8685 0.5000 0.7002  4 Mo 1.97-2.09
N11 0.9163 0.5000 0.1782  5 Mo 2.09-2.20
N12 0.9525 0.5000 0.8699  2 Mo 1.79-1.95